Entry 1:
Compound: BeSbO2F
Source: the Alexandria database
Functional: PBE-GGA
Structure: optimized geometry

Lattice parameters (Å, degrees): 3.772 3.772 3.386 90.00 90.00 90.00
Atoms (fractional coordinates):
Be: 0.000 0.000 0.000
Sb: 0.500 0.500 0.500
O: 0.000 0.500 0.000
O: 0.500 0.000 0.000
F: 0.000 0.000 0.500

=====

Entry 2:
Compound: BeSeOF2
Source: the Alexandria database
Functional: PBE-GGA
Structure: optimized geometry

Lattice parameters (Å, degrees): 4.500 4.500 3.761 90.00 90.00 90.00
Atoms (fractional coordinates):
Be: 0.000 0.000 0.000
Se: 0.500 0.500 0.500
O: 0.500 0.500 0.000
F: 0.000 0.500 0.500
F: 0.500 0.000 0.500

The value obtained for the energy relative to the lowest polymorph listed for this composition is 1306 meV per atom.

=====

Number 1: formation energy from raw total energies -1.64 eV/atom. Number 2: formation energy from raw total energies -0.19 eV/atom.